# CsTlF2, PBEsol geometry, DFT meta-GGA SCAN
# ΔE to the lowest computed polymorph, meV per atom: 0.0
data_CsTlF2
_chemical_formula_sum 'Cs4 Tl4 F8'
_cell_length_a 6.3334
_cell_length_b 6.3334
_cell_length_c 12.0826
_cell_angle_alpha 90.00
_cell_angle_beta 90.00
_cell_angle_gamma 90.00
_symmetry_space_group_name_H-M 'I -4 2 d'
_symmetry_Int_Tables_number 122
_symmetry_space_group_name_Hall 'I -4 2bw'
loop_
_atom_site_label
_atom_site_fract_x
_atom_site_fract_y
_atom_site_fract_z
Cs1 0.0000 0.0000 0.0000
Tl1 0.0000 0.0000 0.5000
F1 0.2169 0.2500 0.6250

# CsTlF2, PBEsol geometry, DFT meta-GGA SCAN
# ΔE to the lowest computed polymorph, meV per atom: 138.3
data_CsTlF2
_chemical_formula_sum 'Cs3 Tl3 F6'
_cell_length_a 4.2483
_cell_length_b 4.2483
_cell_length_c 24.1038
_cell_angle_alpha 90.00
_cell_angle_beta 90.00
_cell_angle_gamma 120.00
_symmetry_space_group_name_H-M 'R -3 m'
_symmetry_Int_Tables_number 166
_symmetry_space_group_name_Hall '-R 3 2"'
loop_
_atom_site_label
_atom_site_fract_x
_atom_site_fract_y
_atom_site_fract_z
Cs1 0.0000 0.0000 0.0000
Tl1 0.0000 0.0000 0.5000
F1 0.0000 0.0000 0.4016

Cs3TlF6: PBEsol geometry, meta-GGA SCAN.

```
data_Cs3TlF6
_chemical_formula_sum 'Cs6 Tl2 F12'
_cell_length_a 6.8913
_cell_length_b 6.8913
_cell_length_c 10.1704
_cell_angle_alpha 90.00
_cell_angle_beta 90.00
_cell_angle_gamma 90.00
_symmetry_space_group_name_H-M 'I 4/m m m'
_symmetry_Int_Tables_number 139
_symmetry_space_group_name_Hall '-I 4 2'
loop_
_atom_site_label
_atom_site_fract_x
_atom_site_fract_y
_atom_site_fract_z
Cs1 0.0000 0.0000 0.0000
Cs2 0.0000 0.5000 0.2500
Tl1 0.0000 0.0000 0.5000
F1 0.0000 0.0000 0.2765
F2 0.0000 0.3103 0.5000
```

Cs3TlF6: PBEsol geometry, meta-GGA SCAN.

```
data_Cs3TlF6
_chemical_formula_sum 'Cs12 Tl4 F24'
_cell_length_a 9.8122
_cell_length_b 9.8122
_cell_length_c 9.8122
_cell_angle_alpha 90.00
_cell_angle_beta 90.00
_cell_angle_gamma 90.00
_symmetry_space_group_name_H-M 'F m -3 m'
_symmetry_Int_Tables_number 225
_symmetry_space_group_name_Hall '-F 4 2 3'
loop_
_atom_site_label
_atom_site_fract_x
_atom_site_fract_y
_atom_site_fract_z
Cs1 0.0000 0.0000 0.0000
Cs2 0.2500 0.2500 0.2500
Tl1 0.0000 0.0000 0.5000
F1 0.0000 0.0000 0.2788
```

DOS(E_F) per entry: 0.0000, 0.0000, 0.0000, 0.0000 states/eV per atom
Energy relative to the elements, uncorrected per entry: -2.21, -2.07, -2.52, -2.56 eV per atom
Magnetic moment per entry: 0.00, 0.00, 0.00, 0.00 μB/cell